Entry 1:
This record from Alexandria via LeMat-Bulk describes an optimized crystal structure of Tl2HgAsF6. The functional is PBE.

Crystal system ... monoclinic
N(E_F) ... 0.213 states/eV/atom
E_form (uncorrected) ... -1.70 eV per atom
Calculated density ... 6602 kg/m3
Volume ... 20.1 Å³/atom

```
data_Tl2HgAsF6
_chemical_formula_sum 'Tl4 Hg2 As2 F12'
_cell_length_a 9.282
_cell_length_b 9.299
_cell_length_c 6.543
_cell_angle_alpha 90.00
_cell_angle_beta 134.68
_cell_angle_gamma 90.00
_symmetry_space_group_name_H-M 'C 1 2/m 1'
_symmetry_Int_Tables_number 12
loop_
_symmetry_equiv_pos_as_xyz
'x,y,z'
'-x,-y,-z'
'-x,y,-z'
'x,-y,z'
'x+1/2,y+1/2,z'
'-x+1/2,-y+1/2,-z'
'-x+1/2,y+1/2,-z'
'x+1/2,-y+1/2,z'
loop_
_atom_site_label
_atom_site_fract_x
_atom_site_fract_y
_atom_site_fract_z
Tl1 0.000 0.250 0.000
Hg1 0.000 0.000 0.500
As1 0.000 0.500 0.500
F1 0.000 0.284 0.500
F2 0.214 0.500 0.931
F3 0.215 0.500 0.499
```

Entry 2:
This record from Alexandria via LeMat-Bulk describes an optimized crystal structure of HoAs2F8. The functional is PBE.

Crystal system ... monoclinic
N(E_F) ... 0.218 states/eV/atom
E_form (uncorrected) ... -2.55 eV per atom
Calculated density ... 4506 kg/m3
Volume ... 15.6 Å³/atom

```
data_HoAs2F8
_chemical_formula_sum 'Ho2 As4 F16'
_cell_length_a 10.944
_cell_length_b 5.484
_cell_length_c 5.732
_cell_angle_alpha 90.00
_cell_angle_beta 90.55
_cell_angle_gamma 90.00
_symmetry_space_group_name_H-M 'C 1 2/m 1'
_symmetry_Int_Tables_number 12
loop_
_symmetry_equiv_pos_as_xyz
'x,y,z'
'-x,-y,-z'
'-x,y,-z'
'x,-y,z'
'x+1/2,y+1/2,z'
'-x+1/2,-y+1/2,-z'
'-x+1/2,y+1/2,-z'
'x+1/2,-y+1/2,z'
loop_
_atom_site_label
_atom_site_fract_x
_atom_site_fract_y
_atom_site_fract_z
Ho1 0.000 0.000 0.000
As1 0.238 0.000 0.408
F1 0.099 0.000 0.683
F2 0.135 0.219 0.214
F3 0.142 0.500 0.810
```

Entry 3:
This record from Alexandria via LeMat-Bulk describes an optimized crystal structure of HoAsO4F. The functional is PBE.

Crystal system ... monoclinic
N(E_F) ... 0.440 states/eV/atom
E_form (uncorrected) ... -2.13 eV per atom
Calculated density ... 4910 kg/m3
Volume ... 15.6 Å³/atom

```
data_HoAsO4F
_chemical_formula_sum 'Ho4 As4 O16 F4'
_cell_length_a 9.461
_cell_length_b 7.179
_cell_length_c 6.734
_cell_angle_alpha 90.00
_cell_angle_beta 107.28
_cell_angle_gamma 90.00
_symmetry_space_group_name_H-M 'C 1 2/m 1'
_symmetry_Int_Tables_number 12
loop_
_symmetry_equiv_pos_as_xyz
'x,y,z'
'-x,-y,-z'
'-x,y,-z'
'x,-y,z'
'x+1/2,y+1/2,z'
'-x+1/2,-y+1/2,-z'
'-x+1/2,y+1/2,-z'
'x+1/2,-y+1/2,z'
loop_
_atom_site_label
_atom_site_fract_x
_atom_site_fract_y
_atom_site_fract_z
Ho1 0.201 0.000 0.102
As1 0.146 0.500 0.276
O1 0.043 0.500 0.783
O2 0.205 0.318 0.154
O3 0.223 0.500 0.537
F1 0.010 0.000 0.819
```

Entry 4:
This record from Alexandria via LeMat-Bulk describes an optimized crystal structure of AsI2F. The functional is PBE.

Crystal system ... cubic
N(E_F) ... 0.121 states/eV/atom
E_form (uncorrected) ... -0.10 eV per atom
Calculated density ... 6315 kg/m3
Volume ... 22.9 Å³/atom

```
data_AsI2F
_chemical_formula_sum 'As4 I8 F4'
_cell_length_a 7.151
_cell_length_b 7.151
_cell_length_c 7.151
_cell_angle_alpha 90.00
_cell_angle_beta 90.00
_cell_angle_gamma 90.00
_symmetry_space_group_name_H-M 'F m -3 m'
_symmetry_Int_Tables_number 225
_symmetry_space_group_name_Hall '-F 4 2 3'
loop_
_atom_site_label
_atom_site_fract_x
_atom_site_fract_y
_atom_site_fract_z
As1 0.000 0.000 0.000
I1 0.250 0.250 0.250
F1 0.000 0.000 0.500
```

The highest N(E_F) belongs to which entry? HoAsO4F

Repeat the second record exactly.
This record from Alexandria via LeMat-Bulk describes an optimized crystal structure of HoAs2F8. The functional is PBE.

Crystal system ... monoclinic
N(E_F) ... 0.218 states/eV/atom
E_form (uncorrected) ... -2.55 eV per atom
Calculated density ... 4506 kg/m3
Volume ... 15.6 Å³/atom

```
data_HoAs2F8
_chemical_formula_sum 'Ho2 As4 F16'
_cell_length_a 10.944
_cell_length_b 5.484
_cell_length_c 5.732
_cell_angle_alpha 90.00
_cell_angle_beta 90.55
_cell_angle_gamma 90.00
_symmetry_space_group_name_H-M 'C 1 2/m 1'
_symmetry_Int_Tables_number 12
loop_
_symmetry_equiv_pos_as_xyz
'x,y,z'
'-x,-y,-z'
'-x,y,-z'
'x,-y,z'
'x+1/2,y+1/2,z'
'-x+1/2,-y+1/2,-z'
'-x+1/2,y+1/2,-z'
'x+1/2,-y+1/2,z'
loop_
_atom_site_label
_atom_site_fract_x
_atom_site_fract_y
_atom_site_fract_z
Ho1 0.000 0.000 0.000
As1 0.238 0.000 0.408
F1 0.099 0.000 0.683
F2 0.135 0.219 0.214
F3 0.142 0.500 0.810
```